DFT (PBE) results for CaDyMgAl after structural relaxation.

* total magnetic moment: 0.000 μB/atom
* VASP energy: -3.1834 eV per atom
* energy of formation from the pure elements: -0.20 eV per atom
* energy relative to the lowest polymorph listed for this composition: 0.000 eV per atom

a = 5.2860 Å, b = 5.2860 Å, c = 5.2860 Å
α = 60.00°, β = 60.00°, γ = 60.00°
Last column: nearest neighbours and their distance in Å.
Element x y z (fractional)
Mg: 0.2500 0.2500 0.2500  4 Dy 3.24, 4 Ca 3.24
Al: 0.7500 0.7500 0.7500  4 Dy 3.24, 4 Ca 3.24
Ca: 0.0000 0.0000 0.0000  4 Mg 3.24, 4 Al 3.24
Dy: 0.5000 0.5000 0.5000  4 Al 3.24, 4 Mg 3.24